VASP calculation (PBE with a Hubbard U) on a geometry-optimized CsRb2FeF5 structure.

Cell: 4.3037 6.6082 12.8502 Å, 90.00 90.00 90.00°
Space group Immm (No. 71)
Unique sites:
1 Cs 0.0000 0.0000 0.0000 x2
2 Rb 0.0000 0.5000 0.2146 x4
3 Fe 0.0000 0.0000 0.5000 x2
4 F 0.0000 0.2247 0.3826 x8
5 F 0.0000 0.5000 0.0000 x2

- VASP energy (eV/atom) = -4.6255